1.
Compound: Ho3Se3Br
Source: the Alexandria database
Functional: GGA-PBE
Structure: relaxed

Properties
Uncorrected formation energy: -1.635 eV per atom
Magnetization: 0.0 μB/f.u.
Space group: No. 148

a = 8.6369 Å, b = 8.6369 Å, c = 7.5463 Å
α = 55.09°, β = 55.09°, γ = 60.00°
With the nearest neighbours (Å) after each atom.
Atoms (fractional coordinates):
Ho: 0.2854 0.5603 0.2408  5 Se 2.83-2.98, 2 Br 3.06-3.11
Ho: 0.9136 0.2854 0.2408  5 Se 2.83-2.98, 2 Br 3.06-3.11
Ho: 0.5603 0.9136 0.2408  5 Se 2.83-2.98, 2 Br 3.06-3.11
Ho: 0.4397 0.0864 0.7592  5 Se 2.83-2.98, 2 Br 3.06-3.11
Ho: 0.0864 0.7146 0.7592  5 Se 2.83-2.98, 2 Br 3.06-3.11
Ho: 0.7146 0.4397 0.7592  5 Se 2.83-2.98, 2 Br 3.06-3.11
Se: 0.3787 0.7942 0.7367  5 Ho 2.83-2.98
Se: 0.7942 0.0904 0.7367  5 Ho 2.83-2.98
Se: 0.0904 0.3787 0.7367  5 Ho 2.83-2.98
Se: 0.9096 0.6213 0.2633  5 Ho 2.83-2.98
Se: 0.2058 0.9096 0.2633  5 Ho 2.83-2.98
Se: 0.6213 0.2058 0.2633  5 Ho 2.83-2.98
Br: 0.3251 0.3251 0.0248  6 Ho 3.06-3.11, 3 Se 3.37
Br: 0.6749 0.6749 0.9752  6 Ho 3.06-3.11, 3 Se 3.37



2.
Compound: Ho6Se8Br
Source: the Alexandria database
Functional: GGA-PBE
Structure: relaxed

Properties
Uncorrected formation energy: -1.698 eV per atom
Magnetization: 0.1 μB/f.u.
Space group: No. 147

a = 4.1819 Å, b = 11.1227 Å, c = 11.1227 Å
α = 120.00°, β = 90.00°, γ = 90.00°
With the nearest neighbours (Å) after each atom.
Atoms (fractional coordinates):
Ho: 0.7477 0.5296 0.6679  6 Se 2.80-3.02
Ho: 0.7477 0.3321 0.8617  6 Se 2.80-3.02
Ho: 0.7477 0.1383 0.4704  6 Se 2.80-3.02
Ho: 0.2523 0.4704 0.3321  6 Se 2.80-3.02
Ho: 0.2523 0.6679 0.1383  6 Se 2.80-3.02
Ho: 0.2523 0.8617 0.5296  6 Se 2.80-3.02
Se: 0.7530 0.6234 0.9532  4 Ho 2.80-2.87
Se: 0.7530 0.0468 0.6702  4 Ho 2.80-2.87
Se: 0.7530 0.3298 0.3766  4 Ho 2.80-2.87
Se: 0.2470 0.3766 0.0468  4 Ho 2.80-2.87
Se: 0.2470 0.9532 0.3298  4 Ho 2.80-2.87
Se: 0.2470 0.6702 0.6234  4 Ho 2.80-2.87
Se: 0.7511 0.6667 0.3333  6 Ho 3.01-3.02
Se: 0.2489 0.3333 0.6667  6 Ho 3.01-3.02
Br: 0.5000 0.0000 0.0000  6 Se 4.09, 2 Br 4.18



3.
Compound: Ho4SiSe2Br
Source: the Alexandria database
Functional: GGA-PBE
Structure: relaxed

Properties
Uncorrected formation energy: -1.350 eV per atom
Magnetization: 0.0 μB/f.u.
Space group: No. 10

a = 4.0833 Å, b = 7.0307 Å, c = 7.2087 Å
α = 71.03°, β = 90.00°, γ = 90.00°
With the nearest neighbours (Å) after each atom.
Atoms (fractional coordinates):
Ho: 0.0000 0.7607 0.7173  1 Si 2.77, 3 Se 2.78-3.04, 2 Br 3.04
Ho: 0.0000 0.2393 0.2827  1 Si 2.77, 3 Se 2.78-3.04, 2 Br 3.04
Ho: 0.5000 0.7402 0.2759  2 Si 2.80, 3 Se 2.80-3.02, 1 Br 3.00
Ho: 0.5000 0.2598 0.7241  2 Si 2.80, 3 Se 2.80-3.02, 1 Br 3.00
Si: 0.0000 0.5000 0.5000  6 Ho 2.77-2.80
Se: 0.0000 0.0000 0.0000  6 Ho 3.02-3.04
Se: 0.5000 0.0000 0.5000  6 Ho 2.78-2.80
Br: 0.5000 0.5000 0.0000  6 Ho 3.00-3.04



4.
Compound: Ho4Si2Br3
Source: the Alexandria database
Functional: GGA-PBE
Structure: relaxed

Properties
Uncorrected formation energy: -1.209 eV per atom
Magnetization: 0.0 μB/f.u.
Space group: No. 12

a = 4.1100 Å, b = 4.1100 Å, c = 17.5071 Å
α = 90.04°, β = 89.96°, γ = 120.00°
With the nearest neighbours (Å) after each atom.
Atoms (fractional coordinates):
Ho: 0.3336 0.6664 0.8820  3 Si 2.78
Ho: 0.9994 0.0006 0.2906  3 Si 2.85, 3 Br 2.95-2.96
Ho: 0.0006 0.9994 0.7094  3 Si 2.85, 3 Br 2.95-2.96
Ho: 0.6664 0.3336 0.1180  3 Si 2.78
Si: 0.6671 0.3329 0.7998  6 Ho 2.78-2.85
Si: 0.3329 0.6671 0.2002  6 Ho 2.78-2.85
Br: 0.6658 0.3342 0.3912  3 Ho 2.95-2.96
Br: 0.0000 0.0000 0.0000  6 Ho 3.15
Br: 0.3342 0.6658 0.6088  3 Ho 2.95-2.96



5.
Compound: Ho2SiBr
Source: the Alexandria database
Functional: GGA-PBE
Structure: relaxed

Properties
Relative energy among the computed polymorphs: 0.0921 eV per atom
Uncorrected formation energy: -0.903 eV per atom
Magnetization: 0.0 μB/f.u.
Space group: No. 3

a = 4.1498 Å, b = 7.2254 Å, c = 7.8500 Å
α = 73.50°, β = 90.00°, γ = 90.00°
With the nearest neighbours (Å) after each atom.
Atoms (fractional coordinates):
Ho: 0.0644 0.8119 0.9168  3 Si 2.77-2.81, 1 Br 3.04
Ho: 0.0645 0.5954 0.5389  3 Si 2.77-2.81, 1 Br 3.04
Ho: 0.5009 0.3120 0.9167  3 Si 2.77-2.81, 1 Br 3.04
Ho: 0.5009 0.0954 0.5390  3 Si 2.77-2.81, 1 Br 3.04
Si: 0.0062 0.2037 0.7278  6 Ho 2.77-2.81
Si: 0.5591 0.7037 0.7278  6 Ho 2.77-2.81
Br: 0.2797 0.9540 0.2281  4 Ho 3.04-3.15
Br: 0.2815 0.4538 0.2276  4 Ho 3.04-3.15



6.
Compound: Ho2SiBr
Source: the Alexandria database
Functional: GGA-PBE
Structure: relaxed

Properties
Relative energy among the computed polymorphs: 0.0419 eV per atom
Uncorrected formation energy: -0.953 eV per atom
Magnetization: 0.0 μB/f.u.
Space group: No. 160

a = 4.0807 Å, b = 4.0807 Å, c = 7.6927 Å
α = 74.62°, β = 74.62°, γ = 60.00°
With the nearest neighbours (Å) after each atom.
Atoms (fractional coordinates):
Ho: 0.0672 0.0672 0.7983  3 Si 2.76
Ho: 0.2672 0.2672 0.1985  3 Si 2.79
Si: 0.6683 0.6683 0.9952  6 Ho 2.76-2.79
Br: 0.4973 0.4973 0.5080  6 Ho 3.17-3.27



7.
Compound: HoSiBr
Source: the Alexandria database
Functional: GGA-PBE
Structure: relaxed

Properties
Uncorrected formation energy: -1.102 eV per atom
Magnetization: 0.0 μB/f.u.
Space group: No. 63

a = 4.1232 Å, b = 3.7408 Å, c = 11.4254 Å
α = 90.00°, β = 100.40°, γ = 90.00°
With the nearest neighbours (Å) after each atom.
Atoms (fractional coordinates):
Si: 0.4676 0.7500 0.9352  2 Si 2.37
Si: 0.5324 0.2500 0.0648  2 Si 2.37
Br: 0.8294 0.7500 0.6589  2 Ho 2.81
Br: 0.1706 0.2500 0.3411  2 Ho 2.81
Ho: 0.9230 0.2500 0.8460  2 Br 2.81, 4 Si 2.96
Ho: 0.0770 0.7500 0.1540  2 Br 2.81, 4 Si 2.96



8.
Compound: HoSiBr
Source: the Alexandria database
Functional: GGA-PBE
Structure: relaxed

Properties
Uncorrected formation energy: -1.196 eV per atom
Magnetization: 0.0 μB/f.u.
Space group: No. 12

a = 4.0411 Å, b = 4.0411 Å, c = 11.6386 Å
α = 90.12°, β = 99.87°, γ = 120.01°
With the nearest neighbours (Å) after each atom.
Atoms (fractional coordinates):
Ho: 0.8909 0.4444 0.3352  6 Si 2.93-3.07, 3 Br 2.95
Ho: 0.1091 0.5556 0.6647  6 Si 2.93-3.07, 3 Br 2.95
Si: 0.3269 0.1634 0.4903  3 Si 2.34
Si: 0.6731 0.8366 0.5097  3 Si 2.34
Br: 0.5476 0.2758 0.8234  3 Ho 2.95
Br: 0.4524 0.7242 0.1766  3 Ho 2.95



9.
Compound: Ho2SiBr
Source: the Alexandria database
Functional: GGA-PBE
Structure: relaxed

Properties
Relative energy among the computed polymorphs: 0.0000 eV per atom
Uncorrected formation energy: -0.995 eV per atom
Magnetization: 0.0 μB/f.u.
Space group: No. 166

a = 4.1357 Å, b = 4.1357 Å, c = 7.4148 Å
α = 73.81°, β = 73.81°, γ = 60.00°
With the nearest neighbours (Å) after each atom.
Atoms (fractional coordinates):
Si: 0.0000 0.0000 0.0000  6 Ho 2.78
Ho: 0.2654 0.2654 0.2038  3 Si 2.78
Ho: 0.7346 0.7346 0.7962  3 Si 2.78
Br: 0.5000 0.5000 0.5000  6 Ho 3.17



10.
Compound: SmHoBr6
Source: the Alexandria database
Functional: GGA-PBE
Structure: relaxed

Properties
Relative energy among the computed polymorphs: 0.0168 eV per atom
Uncorrected formation energy: -1.822 eV per atom
Magnetization: 0.0 μB/f.u.
Space group: No. 148

a = 7.1045 Å, b = 7.1043 Å, c = 7.6575 Å
α = 62.36°, β = 62.36°, γ = 60.00°
With the nearest neighbours (Å) after each atom.
Atoms (fractional coordinates):
Sm: 0.0000 0.0000 0.0000  6 Br 2.88
Ho: 0.5000 0.5000 0.5000  6 Br 2.80
Br: 0.0964 0.4116 0.7467  1 Ho 2.80, 1 Sm 2.88
Br: 0.7452 0.0964 0.7468  1 Ho 2.80, 1 Sm 2.88
Br: 0.5885 0.2547 0.2533  1 Ho 2.80, 1 Sm 2.88
Br: 0.2548 0.9036 0.2532  1 Ho 2.80, 1 Sm 2.88
Br: 0.9036 0.5884 0.2533  1 Ho 2.80, 1 Sm 2.88
Br: 0.4115 0.7453 0.7467  1 Ho 2.80, 1 Sm 2.88



11.
Compound: SmHoBr2
Source: the Alexandria database
Functional: GGA-PBE
Structure: relaxed

Properties
Uncorrected formation energy: -0.783 eV per atom
Magnetization: 0.0 μB/f.u.
Space group: No. 225

a = 5.1635 Å, b = 5.1635 Å, c = 5.1647 Å
α = 60.01°, β = 60.01°, γ = 60.00°
With the nearest neighbours (Å) after each atom.
Atoms (fractional coordinates):
Br: 0.2501 0.2501 0.2497  4 Ho 3.16, 4 Sm 3.16
Br: 0.7499 0.7499 0.7503  4 Ho 3.16, 4 Sm 3.16
Ho: 0.0000 0.0000 0.0000  8 Br 3.16
Sm: 0.5000 0.5000 0.5000  8 Br 3.16



12.
Compound: SmHoBr6
Source: the Alexandria database
Functional: GGA-PBE
Structure: relaxed

Properties
Relative energy among the computed polymorphs: 0.0000 eV per atom
Uncorrected formation energy: -1.838 eV per atom
Magnetization: 0.0 μB/f.u.
Space group: No. 12

a = 7.5823 Å, b = 7.5823 Å, c = 7.0199 Å
α = 97.80°, β = 97.80°, γ = 124.83°
With the nearest neighbours (Å) after each atom.
Atoms (fractional coordinates):
Sm: 0.0000 0.0000 0.0000  6 Br 2.86-2.88
Ho: 0.5000 0.5000 0.5000  6 Br 2.79-2.81
Br: 0.6000 0.8874 0.7441  1 Ho 2.81, 1 Sm 2.88
Br: 0.8874 0.6000 0.7441  1 Ho 2.81, 1 Sm 2.88
Br: 0.1126 0.4000 0.2559  1 Ho 2.81, 1 Sm 2.88
Br: 0.4000 0.1126 0.2559  1 Ho 2.81, 1 Sm 2.88
Br: 0.2523 0.2523 0.7463  1 Ho 2.79, 1 Sm 2.86
Br: 0.7477 0.7477 0.2537  1 Ho 2.79, 1 Sm 2.86



> Look up the uncorrected formation energy of the sixth one.

-0.953 eV per atom